The following is a SCAN calculation of a PBEsol-optimized structure of LiLa, from Alexandria.

Cell: 5.227 5.227 5.227 Å, 60.00 60.00 60.00°
Fractional positions:
Li (0.125, 0.125, 0.125)
Li (0.875, 0.875, 0.875)
La (0.375, 0.375, 0.375)
La (0.625, 0.625, 0.625)

Results
total energy: -45.2 eV per formula unit
formation enthalpy at 0 K: 135 meV/atom
space group: No. 227